# NaFe2Ni3O6 (GGA+U, relaxed)
data_NaFe2Ni3O6
_cell_length_a 13.062
_cell_length_b 3.027
_cell_length_c 6.186
_cell_angle_alpha 90.00
_cell_angle_beta 102.86
_cell_angle_gamma 90.00
_symmetry_space_group_name_H-M 'C 1 2/m 1'
_symmetry_Int_Tables_number 12
loop_
_symmetry_equiv_pos_as_xyz
'x,y,z'
'-x,-y,-z'
'-x,y,-z'
'x,-y,z'
'x+1/2,y+1/2,z'
'-x+1/2,-y+1/2,-z'
'-x+1/2,y+1/2,-z'
'x+1/2,-y+1/2,z'
loop_
_atom_site_label
_atom_site_type_symbol
_atom_site_fract_x
_atom_site_fract_y
_atom_site_fract_z
_atom_site_occupancy
Na1 Na 0.000 0.000 0.000 1
Fe1 Fe 0.162 0.500 0.328 1
Ni1 Ni 0.000 0.000 0.500 1
Ni2 Ni 0.163 0.500 0.835 1
O1 O 0.003 0.500 0.275 1
O2 O 0.172 0.000 0.586 1
O3 O 0.175 0.000 0.089 1
# * VASP energy: -64.64 eV per formula unit